Computed, not measured: an optimized crystal structure of PrMn2BiO8 at the PBE with a Hubbard U level of DFT.

Results
SG: P-3m1, No. 164
Total DFT energy (no corrections) in eV per atom: -6.666
Calculated density in Mg/m³: 4.84
Spin magnetization in μB/f.u.: 4.000

Cell lengths 5.7715, 5.7715, 6.9888 Å; angles 90.00, 90.00, 120.00 degrees
With the nearest neighbours (Å) after each atom.
Atoms (fractional coordinates):
Mn (0.3333, 0.6667, 0.8228)  4 O 1.63-1.75
O (0.3332, 0.1663, 0.2552)  1 Mn 1.75
O (0.6668, 0.8337, 0.7448)  1 Mn 1.75
O (0.8337, 0.1669, 0.2552)  1 Mn 1.75
O (0.8331, 0.6668, 0.2552)  1 Mn 1.75
Bi (0.0000, 0.0000, 0.0000)  6 O 2.44
Mn (0.6667, 0.3333, 0.1772)  4 O 1.63-1.75
O (0.1663, 0.8331, 0.7448)  1 Mn 1.75
O (0.3333, 0.6667, 0.0559)  1 Mn 1.63
Pr (0.0000, 0.0000, 0.5000)  6 O 2.39
O (0.1669, 0.3332, 0.7448)  1 Mn 1.75
O (0.6667, 0.3333, 0.9441)  1 Mn 1.63